Entry from the Open Quantum Materials Database: crystalline FeHgB4 at its relaxed geometry (PBE).

a b c (Å): 2.9431 2.9431 9.2314
angles (deg): 90.00 90.00 120.00
Closest atoms and distances in Å follow each position.
Positions (direct):
B: 0.6667 0.3333 0.3376  3 B 1.70
B: 0.3333 0.6667 0.3376  3 B 1.70
B: 0.6667 0.3333 0.6624  3 B 1.70
B: 0.3333 0.6667 0.6624  3 B 1.70
Fe: 0.0000 0.0000 0.5000  12 B 2.27
Hg: 0.0000 0.0000 0.0000  6 Hg 2.94

Summary:
Space group: P6/mmm, No. 191
E_tot in eV per atom: -5.611
Excess energy over the best structure of this formula in the dataset in eV per atom: 0.000



Entry from the Open Quantum Materials Database: crystalline FeHgBIr at its relaxed geometry (PBE).

a b c (Å): 4.2759 4.2759 4.2759
angles (deg): 60.00 60.00 60.00
Closest atoms and distances in Å follow each position.
Positions (direct):
B: 0.0000 0.0000 0.0000  4 Fe 2.62, 4 Ir 2.62
Fe: 0.7500 0.7500 0.7500  4 B 2.62, 4 Hg 2.62
Hg: 0.5000 0.5000 0.5000  4 Ir 2.62, 4 Fe 2.62
Ir: 0.2500 0.2500 0.2500  4 Hg 2.62, 4 B 2.62

Summary:
Space group: F-43m, No. 216
E_tot in eV per atom: -5.064
Excess energy over the best structure of this formula in the dataset in eV per atom: 0.000



Entry from the Open Quantum Materials Database: crystalline FeHgBIr at its relaxed geometry (PBE).

a b c (Å): 4.3371 4.3371 4.3371
angles (deg): 60.00 60.00 60.00
Closest atoms and distances in Å follow each position.
Positions (direct):
B: 0.0000 0.0000 0.0000  4 Hg 2.66, 4 Fe 2.66
Fe: 0.7500 0.7500 0.7500  4 Ir 2.66, 4 B 2.66
Hg: 0.2500 0.2500 0.2500  4 Ir 2.66, 4 B 2.66
Ir: 0.5000 0.5000 0.5000  4 Fe 2.66, 4 Hg 2.66

Summary:
Space group: F-43m, No. 216
E_tot in eV per atom: -4.899
Excess energy over the best structure of this formula in the dataset in eV per atom: 0.165



Which value of excess energy over the best structure of this formula in the dataset does entry 2 give? 0.000 eV per atom